A plane-wave DFT calculation with GGA-PBE was carried out for CuBOs3 after structural relaxation.

It has space group Pm-3m (No. 221), with a = 4.414 Å, b = 4.414 Å, c = 4.414 Å, α = 90.00°, β = 90.00° and γ = 90.00°. The inequivalent atoms are Cu at (0.000, 0.000, 0.000), B at (0.500, 0.500, 0.500) and Os at (0.000, 0.000, 0.500).

The total DFT energy (no corrections) is -0.2166 Ha/atom. The calculation puts the total magnetization at 2.5 μB/f.u. For the energy above the most stable polymorph in this dataset, the calculation gives 2398 meV/atom.